1.
Ac3CdC | PBE | optimized geometry

Total magnetic moment   0.00 μB per formula unit
Calculated formation energy   -0.0468 eV per atom
Mass density   8.36 Mg/m³
Offset from the most stable computed form   0 meV/atom
VASP energy   -4.5396 eV/atom

Geometry as extended XYZ:
```
10
Lattice="-1.048 3.756 0.722 -8.581 -0.177 -0.653 -1.264 -2.148 9.327" Properties=species:S:1:pos:R:3 pbc="T T T"
Ac -8.332 1.462 5.933
Cd -5.242 0.029 6.989
C -6.815 2.707 1.681
Ac -8.107 -1.135 8.891
C -8.360 -0.232 3.816
Cd -2.616 0.476 8.487
Ac -2.263 -0.891 5.198
Ac -4.330 3.543 0.951
Ac -9.362 1.868 2.337
Ac -5.813 0.606 3.160
```



2.
La6As2RuBr3 | PBE | optimized geometry

Total magnetic moment   0.00 μB per formula unit
ΔE_f (raw)   -1322 meV per atom
Mass density   6.09 Mg/m³
VASP energy   -5.7520 eV/atom

Geometry as extended XYZ:
```
12
Lattice="-4.243 -0.210 -0.063 0.472 -8.450 -3.515 2.044 -1.198 9.535" Properties=species:S:1:pos:R:3 pbc="T T T"
La 0.154 -4.512 4.662
Ru -2.122 -0.105 -0.032
As -1.861 -6.590 4.019
Br 0.367 -7.507 0.356
Br -1.886 -4.330 -1.789
La 0.103 -1.856 -0.708
La -1.830 -8.003 6.665
Br -2.094 -2.352 5.600
La -2.099 -1.315 2.439
La -1.882 -5.347 1.295
La 0.371 -8.543 3.518
As 0.133 -3.268 1.937
```



What is the mass density in the second record?
6.09 Mg/m³



Which formula does entry 1 have?
Ac3CdC